# LiLaN3 | the Alexandria database | PBE | relaxed
# Raw total energy (eV per atom): -5.82
# N(E_F) (states/eV/atom): 0.60
# Magnetic moment (μB per cell): 0.0
data_LiLaN3
_chemical_formula_sum 'Li1 La1 N3'
_symmetry_space_group_name_H-M 'P m -3 m'
_symmetry_Int_Tables_number 221
_symmetry_space_group_name_Hall '-P 4 2 3'
_cell_length_a 3.812
_cell_length_b 3.812
_cell_length_c 3.812
_cell_angle_alpha 90.00
_cell_angle_beta 90.00
_cell_angle_gamma 90.00
loop_
_atom_site_label
_atom_site_fract_x
_atom_site_fract_y
_atom_site_fract_z
Li1 0.000 0.000 0.000
La1 0.500 0.500 0.500
N1 0.000 0.000 0.500

---

# LiLaN3 | the Alexandria database | PBE | relaxed
# Raw total energy (eV per atom): -5.18
# N(E_F) (states/eV/atom): 0.91
# Magnetic moment (μB per cell): 0.0
data_LiLaN3
_chemical_formula_sum 'Li1 La1 N3'
_symmetry_space_group_name_H-M 'P m -3 m'
_symmetry_Int_Tables_number 221
_symmetry_space_group_name_Hall '-P 4 2 3'
_cell_length_a 4.332
_cell_length_b 4.332
_cell_length_c 4.332
_cell_angle_alpha 90.00
_cell_angle_beta 90.00
_cell_angle_gamma 90.00
loop_
_atom_site_label
_atom_site_fract_x
_atom_site_fract_y
_atom_site_fract_z
Li1 0.000 0.000 0.000
La1 0.500 0.500 0.500
N1 0.000 0.500 0.500

---

# LiLa2N2 | the Alexandria database | PBE | relaxed
# Raw total energy (eV per atom): -6.69
# N(E_F) (states/eV/atom): 0.34
# Magnetic moment (μB per cell): 1.4
data_LiLa2N2
_chemical_formula_sum 'Li2 La4 N4'
_symmetry_space_group_name_H-M 'I 4/m m m'
_symmetry_Int_Tables_number 139
_symmetry_space_group_name_Hall '-I 4 2'
_cell_length_a 3.758
_cell_length_b 3.758
_cell_length_c 13.194
_cell_angle_alpha 90.00
_cell_angle_beta 90.00
_cell_angle_gamma 90.00
loop_
_atom_site_label
_atom_site_fract_x
_atom_site_fract_y
_atom_site_fract_z
Li1 0.000 0.000 0.000
La1 0.000 0.000 0.344
N1 0.000 0.000 0.162

---

# Li3LaN | the Alexandria database | PBE | relaxed
# N(E_F) (states/eV/atom): 0.82
# Magnetic moment (μB per cell): 1.0
# Energy above the most stable polymorph in this dataset (eV/f.u.): 9.08
data_Li3LaN
_chemical_formula_sum 'Li3 La1 N1'
_symmetry_space_group_name_H-M 'P m -3 m'
_symmetry_Int_Tables_number 221
_symmetry_space_group_name_Hall '-P 4 2 3'
_cell_length_a 6.231
_cell_length_b 6.231
_cell_length_c 6.231
_cell_angle_alpha 90.00
_cell_angle_beta 90.00
_cell_angle_gamma 90.00
loop_
_atom_site_label
_atom_site_fract_x
_atom_site_fract_y
_atom_site_fract_z
Li1 0.000 0.000 0.500
La1 0.000 0.000 0.000
N1 0.500 0.500 0.500